This record from the Alexandria database describes an optimized crystal structure of AsOsPb2. The functional is GGA-PBE.

a b c (Å): 3.1877 3.1877 9.0529
angles (deg): 90.00 90.00 90.00
Sites, in units of the cell vectors:
Pb (0.0000, 0.0000, 0.9438)
Pb (0.5000, 0.5000, 0.2796)
As (0.0000, 0.0000, 0.5710)
Os (0.5000, 0.5000, 0.7056)

Properties
Spin magnetization, μB per formula unit: 0.00
DOS(E_F), states/eV per cell: 2.2
DFT total energy, eV/atom: -5.554
Formation energy, kJ per mole of atoms: 26.0
Density, Mg/m³: 12.3

=====

This record from the Alexandria database describes an optimized crystal structure of BaLaBr2. The functional is GGA-PBE.

a b c (Å): 3.9702 7.3777 5.0877
angles (deg): 90.00 90.00 90.00
Sites, in units of the cell vectors:
Ba (0.0000, 0.5000, 0.5000)
Br (0.5000, 0.5000, 0.0000)
Br (0.0000, 0.0000, 0.0000)
La (0.5000, 0.0000, 0.5000)

Properties
E_form (uncorrected), eV per atom: -1.22
Excess energy over the best structure of this formula in the dataset, eV/atom: 0.147
Spin magnetization, μB per formula unit: 0.00
DOS(E_F), states/eV per cell: 2.8
DFT total energy, eV/atom: -3.771
Density, Mg/m³: 4.9

=====

This record from the Alexandria database describes an optimized crystal structure of CaIn8Hg6. The functional is GGA-PBE.

a b c (Å): 8.8264 8.8264 8.1523
angles (deg): 57.22 57.22 60.00
Sites, in units of the cell vectors:
In (0.7403, 0.1238, 0.7090)
In (0.2597, 0.8762, 0.2910)
In (0.5732, 0.2597, 0.2910)
In (0.8762, 0.5732, 0.2910)
In (0.3304, 0.3304, 0.0089)
In (0.6696, 0.6696, 0.9911)
In (0.1238, 0.4268, 0.7090)
In (0.4268, 0.7403, 0.7090)
Ca (0.0000, 0.0000, 0.0000)
Hg (0.9484, 0.2352, 0.2343)
Hg (0.2352, 0.5821, 0.2343)
Hg (0.0516, 0.7648, 0.7657)
Hg (0.5821, 0.9484, 0.2343)
Hg (0.4179, 0.0516, 0.7657)
Hg (0.7648, 0.4179, 0.7657)

Properties
Spin magnetization, μB per formula unit: 0.00
DOS(E_F), states/eV per cell: 4.9
DFT total energy, eV/atom: -1.773
Formation energy, kJ per mole of atoms: -5.7
Density, Mg/m³: 8.4

=====

This record from the Alexandria database describes an optimized crystal structure of Sn2BiPbF. The functional is GGA-PBE.

a b c (Å): 5.8872 4.5017 5.8872
angles (deg): 90.00 90.00 90.00
Sites, in units of the cell vectors:
Sn (0.0000, 0.0000, 0.5000)
Sn (0.5000, 0.0000, 0.0000)
Bi (0.5000, 0.5000, 0.5000)
F (0.0000, 0.5000, 0.0000)
Pb (0.0000, 0.0000, 0.0000)

Properties
E_form (uncorrected), eV per atom: -0.25
Spin magnetization, μB per formula unit: 0.00
DOS(E_F), states/eV per cell: 2.1
DFT total energy, eV/atom: -3.747
Density, Mg/m³: 7.2

=====

This record from the Alexandria database describes an optimized crystal structure of PdCSe2N. The functional is GGA-PBE.

a b c (Å): 5.7475 5.7475 2.4997
angles (deg): 90.00 90.00 90.00
Sites, in units of the cell vectors:
Pd (0.5000, 0.5000, 0.5000)
Se (0.0000, 0.5000, 0.0000)
Se (0.5000, 0.0000, 0.0000)
N (0.0000, 0.0000, 0.5000)
C (0.0000, 0.0000, 0.0000)

Properties
E_form (uncorrected), eV per atom: 0.78
Excess energy over the best structure of this formula in the dataset, eV/atom: 0.000
Spin magnetization, μB per formula unit: 0.19
DOS(E_F), states/eV per cell: 4.2
DFT total energy, eV/atom: -5.167
Density, Mg/m³: 5.8

=====

This record from the Alexandria database describes an optimized crystal structure of TbPrSeS. The functional is GGA-PBE.

a b c (Å): 4.0743 4.0743 7.1898
angles (deg): 73.54 73.54 60.00
Sites, in units of the cell vectors:
S (0.0055, 0.0055, 0.9836)
Pr (0.2577, 0.2577, 0.2269)
Tb (0.7419, 0.7419, 0.7744)
Se (0.4950, 0.4950, 0.5151)

Properties
E_form (uncorrected), eV per atom: -1.93
Spin magnetization, μB per formula unit: 0.00
DOS(E_F), states/eV per cell: 1.2
DFT total energy, eV/atom: -6.183
Density, Mg/m³: 7.0